1.
# CaBeTl2Br PBE optimized geometry
data_CaBeTl2Br
_chemical_formula_sum 'Ca1 Be1 Tl2 Br1'
_space_group_name_H-M_alt 'P 1'
_space_group_IT_number 1
_cell_length_a 4.800
_cell_length_b 6.206
_cell_length_c 4.800
_cell_angle_alpha 90.00
_cell_angle_beta 90.00
_cell_angle_gamma 90.00
loop_
_space_group_symop_operation_xyz
'x,y,z'
loop_
_atom_site_label
_atom_site_type_symbol
_atom_site_fract_x
_atom_site_fract_y
_atom_site_fract_z
Be1 Be 0.000 0.000 0.000
Ca1 Ca 0.000 0.500 0.000
Tl1 Tl 0.000 0.000 0.500
Tl2 Tl 0.500 0.000 0.000
Br1 Br 0.500 0.500 0.500
# Formation energy (no corrections), meV/atom: -245



2.
# Tm8TlOs2 PBE optimized geometry
data_Tm8TlOs2
_chemical_formula_sum 'Tm8 Tl1 Os2'
_space_group_name_H-M_alt 'P 1'
_space_group_IT_number 1
_cell_length_a 4.948
_cell_length_b 6.979
_cell_length_c 9.068
_cell_angle_alpha 109.99
_cell_angle_beta 105.83
_cell_angle_gamma 90.00
loop_
_space_group_symop_operation_xyz
'x,y,z'
loop_
_atom_site_label
_atom_site_type_symbol
_atom_site_fract_x
_atom_site_fract_y
_atom_site_fract_z
Tm1 Tm 0.763 0.967 0.163
Tm2 Tm 0.614 0.233 0.864
Tm3 Tm 0.367 0.820 0.370
Tm4 Tm 0.922 0.503 0.481
Tm5 Tm 0.975 0.105 0.586
Tm6 Tm 0.169 0.572 0.975
Tm7 Tm 0.555 0.675 0.747
Tm8 Tm 0.291 0.320 0.219
Tl1 Tl 0.126 0.959 0.888
Os1 Os 0.448 0.270 0.532
Os2 Os 0.769 0.576 0.175
# Formation energy from the elements, eV per atom: -0.24



3.
# SrBeAu2 PBE optimized geometry
data_SrBeAu2
_chemical_formula_sum 'Sr1 Be1 Au2'
_space_group_name_H-M_alt 'P 1'
_space_group_IT_number 1
_cell_length_a 5.231
_cell_length_b 5.231
_cell_length_c 5.231
_cell_angle_alpha 129.21
_cell_angle_beta 129.21
_cell_angle_gamma 74.67
loop_
_space_group_symop_operation_xyz
'x,y,z'
loop_
_atom_site_label
_atom_site_type_symbol
_atom_site_fract_x
_atom_site_fract_y
_atom_site_fract_z
Au1 Au 0.000 0.000 0.000
Au2 Au 0.250 0.750 0.500
Sr1 Sr 0.750 0.250 0.500
Be1 Be 0.500 0.500 0.000
# Formation energy from the elements, eV per atom: 0.01



4.
# MgRhSe2 PBE optimized geometry
data_MgRhSe2
_chemical_formula_sum 'Mg1 Rh1 Se2'
_space_group_name_H-M_alt 'P 1'
_space_group_IT_number 1
_cell_length_a 3.834
_cell_length_b 3.834
_cell_length_c 6.410
_cell_angle_alpha 72.55
_cell_angle_beta 72.55
_cell_angle_gamma 60.04
loop_
_space_group_symop_operation_xyz
'x,y,z'
loop_
_atom_site_label
_atom_site_type_symbol
_atom_site_fract_x
_atom_site_fract_y
_atom_site_fract_z
Se1 Se 0.009 0.009 0.972
Se2 Se 0.491 0.491 0.528
Mg1 Mg 0.250 0.250 0.250
Rh1 Rh 0.750 0.750 0.750
# Formation energy (no corrections), meV/atom: -574



5.
# Co3Au PBE optimized geometry
data_Co3Au
_chemical_formula_sum 'Co3 Au1'
_space_group_name_H-M_alt 'P 1'
_space_group_IT_number 1
_cell_length_a 4.536
_cell_length_b 4.536
_cell_length_c 4.536
_cell_angle_alpha 131.73
_cell_angle_beta 131.65
_cell_angle_gamma 70.72
loop_
_space_group_symop_operation_xyz
'x,y,z'
loop_
_atom_site_label
_atom_site_type_symbol
_atom_site_fract_x
_atom_site_fract_y
_atom_site_fract_z
Co1 Co 0.250 0.750 0.500
Co2 Co 0.750 0.250 0.500
Co3 Co 0.500 0.500 0.000
Au1 Au 0.000 0.000 0.000
# Formation energy from the elements, eV per atom: 0.18



6.
# PrFeSb3 PBE optimized geometry
data_PrFeSb3
_chemical_formula_sum 'Pr8 Fe8 Sb24'
_space_group_name_H-M_alt 'P 1'
_space_group_IT_number 1
_cell_length_a 6.191
_cell_length_b 12.178
_cell_length_c 12.888
_cell_angle_alpha 90.00
_cell_angle_beta 90.00
_cell_angle_gamma 90.00
loop_
_space_group_symop_operation_xyz
'x,y,z'
loop_
_atom_site_label
_atom_site_type_symbol
_atom_site_fract_x
_atom_site_fract_y
_atom_site_fract_z
Sb1 Sb 0.750 0.000 0.786
Sb2 Sb 0.885 0.750 0.943
Sb3 Sb 0.385 0.750 0.057
Sb4 Sb 0.750 0.000 0.028
Sb5 Sb 0.768 0.750 0.211
Sb6 Sb 0.732 0.250 0.211
Sb7 Sb 0.250 0.000 0.972
Sb8 Sb 0.013 0.623 0.498
Sb9 Sb 0.750 0.500 0.786
Sb10 Sb 0.250 0.500 0.972
Sb11 Sb 0.013 0.877 0.498
Sb12 Sb 0.513 0.623 0.502
Sb13 Sb 0.615 0.250 0.943
Sb14 Sb 0.987 0.377 0.502
Sb15 Sb 0.232 0.250 0.789
Sb16 Sb 0.487 0.123 0.498
Sb17 Sb 0.513 0.877 0.502
Sb18 Sb 0.750 0.500 0.028
Sb19 Sb 0.487 0.377 0.498
Sb20 Sb 0.268 0.750 0.789
Sb21 Sb 0.987 0.123 0.502
Sb22 Sb 0.115 0.250 0.057
Sb23 Sb 0.250 0.000 0.214
Sb24 Sb 0.250 0.500 0.214
Pr1 Pr 0.724 0.250 0.696
Pr2 Pr 0.776 0.750 0.696
Pr3 Pr 0.750 0.500 0.299
Pr4 Pr 0.250 0.500 0.701
Pr5 Pr 0.750 0.000 0.299
Pr6 Pr 0.276 0.750 0.304
Pr7 Pr 0.250 0.000 0.701
Pr8 Pr 0.224 0.250 0.304
Fe1 Fe 0.963 0.138 0.902
Fe2 Fe 0.037 0.862 0.098
Fe3 Fe 0.037 0.638 0.098
Fe4 Fe 0.463 0.362 0.098
Fe5 Fe 0.463 0.138 0.098
Fe6 Fe 0.537 0.638 0.902
Fe7 Fe 0.963 0.362 0.902
Fe8 Fe 0.537 0.862 0.902
# Polymorph energy (0 for the lowest one), meV per atom: 0
# Formation energy (no corrections), meV/atom: -493



7.
# Pa2Tl2PN6 PBE optimized geometry
data_Pa2Tl2PN6
_chemical_formula_sum 'Pa2 Tl2 P1 N6'
_space_group_name_H-M_alt 'P 1'
_space_group_IT_number 1
_cell_length_a 5.795
_cell_length_b 5.795
_cell_length_c 6.848
_cell_angle_alpha 95.31
_cell_angle_beta 95.31
_cell_angle_gamma 121.25
loop_
_space_group_symop_operation_xyz
'x,y,z'
loop_
_atom_site_label
_atom_site_type_symbol
_atom_site_fract_x
_atom_site_fract_y
_atom_site_fract_z
N1 N 0.206 0.206 0.338
N2 N 0.045 0.342 0.639
N3 N 0.658 0.955 0.361
N4 N 0.794 0.794 0.662
N5 N 0.955 0.658 0.361
N6 N 0.342 0.045 0.639
Pa1 Pa 0.339 0.661 0.500
Pa2 Pa 0.661 0.339 0.500
Tl1 Tl 0.161 0.839 0.000
Tl2 Tl 0.839 0.161 0.000
P1 P 0.000 0.000 0.500
# Formation energy (no corrections), meV/atom: -222



8.
# Cs4Nd3TiS8 PBE optimized geometry
data_Cs4Nd3TiS8
_chemical_formula_sum 'Cs4 Nd3 Ti1 S8'
_space_group_name_H-M_alt 'P 1'
_space_group_IT_number 1
_cell_length_a 8.263
_cell_length_b 9.370
_cell_length_c 8.264
_cell_angle_alpha 116.18
_cell_angle_beta 119.99
_cell_angle_gamma 90.00
loop_
_space_group_symop_operation_xyz
'x,y,z'
loop_
_atom_site_label
_atom_site_type_symbol
_atom_site_fract_x
_atom_site_fract_y
_atom_site_fract_z
S1 S 0.214 0.679 0.427
S2 S 0.730 0.691 0.461
S3 S 0.752 0.679 0.966
S4 S 0.248 0.321 0.034
S5 S 0.787 0.321 0.034
S6 S 0.213 0.679 0.966
S7 S 0.270 0.309 0.539
S8 S 0.786 0.321 0.573
Cs1 Cs 0.000 0.000 0.000
Cs2 Cs 0.500 0.000 0.000
Cs3 Cs 0.000 0.000 0.500
Cs4 Cs 0.500 0.000 0.500
Ti1 Ti 0.000 0.500 0.000
Nd1 Nd 0.500 0.500 0.000
Nd2 Nd 0.500 0.500 0.500
Nd3 Nd 0.000 0.500 0.500
# Formation energy (no corrections), meV/atom: -1619



9.
# GeBP3 PBE optimized geometry
data_GeBP3
_chemical_formula_sum 'Ge1 B1 P3'
_space_group_name_H-M_alt 'P 1'
_space_group_IT_number 1
_cell_length_a 4.690
_cell_length_b 4.690
_cell_length_c 4.690
_cell_angle_alpha 90.00
_cell_angle_beta 90.00
_cell_angle_gamma 90.00
loop_
_space_group_symop_operation_xyz
'x,y,z'
loop_
_atom_site_label
_atom_site_type_symbol
_atom_site_fract_x
_atom_site_fract_y
_atom_site_fract_z
P1 P 0.000 0.500 0.000
P2 P 0.500 0.000 0.000
P3 P 0.000 0.000 0.500
B1 B 0.500 0.500 0.500
Ge1 Ge 0.000 0.000 0.000
# Polymorph energy (0 for the lowest one), meV per atom: 1018
# Formation energy from the elements, eV per atom: 1.83



10.
# Nd2RhAu PBE optimized geometry
data_Nd2RhAu
_chemical_formula_sum 'Nd2 Rh1 Au1'
_space_group_name_H-M_alt 'P 1'
_space_group_IT_number 1
_cell_length_a 4.129
_cell_length_b 4.129
_cell_length_c 7.675
_cell_angle_alpha 74.40
_cell_angle_beta 74.40
_cell_angle_gamma 60.00
loop_
_space_group_symop_operation_xyz
'x,y,z'
loop_
_atom_site_label
_atom_site_type_symbol
_atom_site_fract_x
_atom_site_fract_y
_atom_site_fract_z
Nd1 Nd 0.260 0.260 0.219
Nd2 Nd 0.073 0.073 0.781
Au1 Au 0.501 0.501 0.496
Rh1 Rh 0.666 0.666 0.003
# Formation energy from the elements, eV per atom: -0.67



11.
# CeHgOsO6 PBE optimized geometry
data_CeHgOsO6
_chemical_formula_sum 'Ce2 Hg2 Os2 O12'
_space_group_name_H-M_alt 'P 1'
_space_group_IT_number 1
_cell_length_a 8.098
_cell_length_b 7.288
_cell_length_c 8.063
_cell_angle_alpha 116.87
_cell_angle_beta 120.14
_cell_angle_gamma 90.00
loop_
_space_group_symop_operation_xyz
'x,y,z'
loop_
_atom_site_label
_atom_site_type_symbol
_atom_site_fract_x
_atom_site_fract_y
_atom_site_fract_z
Hg1 Hg 0.199 0.449 0.397
Hg2 Hg 0.801 0.551 0.603
O1 O 0.236 0.338 0.793
O2 O 0.764 0.045 0.207
O3 O 0.201 0.951 0.402
O4 O 0.443 0.045 0.207
O5 O 0.554 0.304 0.108
O6 O 0.443 0.662 0.207
O7 O 0.446 0.696 0.892
O8 O 0.557 0.955 0.793
O9 O 0.236 0.955 0.793
O10 O 0.557 0.338 0.793
O11 O 0.799 0.049 0.598
O12 O 0.764 0.662 0.207
Ce1 Ce 0.500 0.000 0.500
Ce2 Ce 0.000 0.000 0.500
Os1 Os 0.500 0.500 0.000
Os2 Os 0.500 0.000 0.000
# Formation energy (no corrections), meV/atom: -1475



12.
# Sm2Mg2In PBE optimized geometry
data_Sm2Mg2In
_chemical_formula_sum 'Sm4 Mg4 In2'
_space_group_name_H-M_alt 'P 1'
_space_group_IT_number 1
_cell_length_a 5.175
_cell_length_b 6.258
_cell_length_c 9.959
_cell_angle_alpha 98.34
_cell_angle_beta 74.94
_cell_angle_gamma 65.58
loop_
_space_group_symop_operation_xyz
'x,y,z'
loop_
_atom_site_label
_atom_site_type_symbol
_atom_site_fract_x
_atom_site_fract_y
_atom_site_fract_z
Sm1 Sm 0.701 0.250 0.348
Sm2 Sm 0.299 0.750 0.652
Sm3 Sm 0.108 0.723 0.061
Sm4 Sm 0.892 0.277 0.939
Mg1 Mg 0.659 0.823 0.859
Mg2 Mg 0.057 0.305 0.580
Mg3 Mg 0.341 0.177 0.141
Mg4 Mg 0.943 0.695 0.420
In1 In 0.451 0.802 0.295
In2 In 0.549 0.198 0.705
# Polymorph energy (0 for the lowest one), meV per atom: 0
# Formation energy from the elements, eV per atom: -0.21